PBE+U V2BP3O12, optimized geometry; crystal system = hexagonal; energy = -7.649 eV/atom
1.0
-3.454 -6.749 -0.818
11.522 -5.109 -6.500
-1.254 -1.065 14.085
O B P V
72 6 18 12
direct
0.750 0.467 0.074
0.250 0.730 0.098
0.250 0.074 0.606
0.420 0.384 0.931
0.581 0.274 0.432
0.250 0.033 0.924
0.750 0.108 0.033
0.081 0.726 0.568
0.418 0.770 0.794
0.250 0.892 0.967
0.080 0.547 0.616
0.750 0.303 0.101
0.250 0.533 0.926
0.582 0.230 0.206
0.750 0.764 0.429
0.582 0.976 0.770
0.250 0.369 0.270
0.250 0.902 0.631
0.250 0.429 0.664
0.082 0.770 0.794
0.080 0.069 0.453
0.580 0.931 0.547
0.250 0.076 0.108
0.920 0.453 0.384
0.581 0.568 0.841
0.420 0.547 0.616
0.750 0.798 0.697
0.750 0.435 0.676
0.750 0.899 0.202
0.420 0.069 0.453
0.250 0.336 0.764
0.582 0.794 0.024
0.250 0.676 0.241
0.082 0.206 0.976
0.419 0.841 0.274
0.419 0.432 0.159
0.919 0.568 0.841
0.081 0.432 0.159
0.581 0.159 0.726
0.250 0.565 0.324
0.920 0.616 0.069
0.918 0.794 0.024
0.250 0.697 0.899
0.750 0.098 0.369
0.250 0.236 0.571
0.750 0.324 0.759
0.919 0.274 0.432
0.418 0.206 0.976
0.250 0.101 0.798
0.419 0.726 0.568
0.750 0.631 0.730
0.418 0.024 0.230
0.580 0.453 0.384
0.750 0.926 0.394
0.918 0.230 0.206
0.750 0.924 0.892
0.919 0.159 0.726
0.920 0.931 0.547
0.750 0.241 0.565
0.750 0.664 0.236
0.750 0.606 0.533
0.250 0.202 0.303
0.750 0.571 0.336
0.918 0.976 0.770
0.750 0.967 0.076
0.080 0.384 0.931
0.082 0.024 0.230
0.081 0.841 0.274
0.250 0.759 0.435
0.250 0.394 0.467
0.750 0.270 0.902
0.580 0.616 0.069
0.750 0.000 0.000
0.250 0.000 0.000
0.250 0.333 0.667
0.750 0.667 0.333
0.750 0.333 0.667
0.250 0.667 0.333
0.750 0.855 0.076
0.750 0.517 0.411
0.750 0.220 0.776
0.750 0.221 0.145
0.250 0.483 0.589
0.250 0.145 0.924
0.250 0.411 0.894
0.750 0.589 0.106
0.250 0.779 0.855
0.750 0.924 0.779
0.250 0.106 0.517
0.250 0.076 0.221
0.750 0.556 0.780
0.750 0.224 0.444
0.250 0.776 0.556
0.750 0.894 0.483
0.250 0.444 0.220
0.250 0.780 0.224
0.554 0.680 0.656
0.054 0.320 0.344
0.946 0.680 0.656
0.054 0.024 0.680
0.054 0.656 0.976
0.446 0.656 0.976
0.554 0.976 0.320
0.946 0.344 0.024
0.554 0.344 0.024
0.446 0.024 0.680
0.446 0.320 0.344
0.946 0.976 0.320